# Li2BeVN | the Alexandria database | PBE-GGA | relaxed
data_Li2BeVN
_symmetry_space_group_name_H-M 'P 4/m m m'
_symmetry_Int_Tables_number 123
_symmetry_space_group_name_Hall '-P 4 2'
_cell_length_a 3.737
_cell_length_b 3.737
_cell_length_c 4.246
_cell_angle_alpha 90.00
_cell_angle_beta 90.00
_cell_angle_gamma 90.00
loop_
_atom_site_label
_atom_site_fract_x
_atom_site_fract_y
_atom_site_fract_z
Li1 0.000 0.500 0.000
Be1 0.000 0.000 0.000
V1 0.000 0.000 0.500
N1 0.500 0.500 0.500
# Formation energy (no corrections): 1.333 eV per atom



# BeHg2Sb | the Alexandria database | PBE-GGA | relaxed
data_BeHg2Sb
_symmetry_space_group_name_H-M 'C m m m'
_symmetry_Int_Tables_number 65
_symmetry_space_group_name_Hall '-C 2 2'
_cell_length_a 5.360
_cell_length_b 8.585
_cell_length_c 4.033
_cell_angle_alpha 90.00
_cell_angle_beta 90.00
_cell_angle_gamma 90.00
loop_
_atom_site_label
_atom_site_fract_x
_atom_site_fract_y
_atom_site_fract_z
Be1 0.000 0.000 0.000
Hg1 0.250 0.250 0.500
Sb1 0.000 0.500 0.000
# Formation energy (no corrections): 0.554 eV per atom



# KMgCr4 | the Alexandria database | PBE-GGA | relaxed
data_KMgCr4
_symmetry_space_group_name_H-M 'F -4 3 m'
_symmetry_Int_Tables_number 216
_symmetry_space_group_name_Hall 'F -4 2 3'
_cell_length_a 7.341
_cell_length_b 7.341
_cell_length_c 7.341
_cell_angle_alpha 90.00
_cell_angle_beta 90.00
_cell_angle_gamma 90.00
loop_
_atom_site_label
_atom_site_fract_x
_atom_site_fract_y
_atom_site_fract_z
K1 0.000 0.000 0.000
Mg1 0.250 0.250 0.750
Cr1 0.134 0.134 0.366
# Formation energy from the elements: 113.4 kJ/mol of atoms